Material: Sr3Zn4Cu4
Method: DFT, GGA-PBE
State: relaxed

Geometry as POSCAR:
```
Sr3Zn4Cu4
1.0
4.307 0.001 0.000
0.000 4.369 0.007
2.135 2.185 12.832
Cu Zn Sr
4 4 3
Direct
0.697 0.198 0.604
0.450 0.449 0.098
0.550 0.551 0.902
0.303 0.802 0.396
0.401 0.900 0.199
0.599 0.101 0.801
0.248 0.251 0.501
0.752 0.749 0.499
0.149 0.650 0.702
0.851 0.350 0.298
0.000 0.000 0.000
```

Summary:
V   21.9 Å³ per atom
Space-group type   P-1
Energy relative to the lowest polymorph listed for this composition   0.000 eV per atom
Size of the total moment   0.0 μB per cell
Density of states at the Fermi level   0.527 states/eV per atom

=====

Material: SrZn6Cu2
Method: DFT, GGA-PBE
State: relaxed

Geometry as POSCAR:
```
SrZn6Cu2
1.0
-3.049 2.660 -1.120
-5.075 -0.448 4.882
-0.638 4.760 5.169
Cu Zn Sr
2 6 1
Direct
0.110 0.390 0.390
0.890 0.610 0.610
0.300 0.006 0.394
0.500 0.327 0.673
0.700 0.994 0.606
0.700 0.606 0.994
0.500 0.673 0.327
0.300 0.394 0.006
0.000 0.000 0.000
```

Summary:
V   18.5 Å³ per atom
Space-group type   Immm
Size of the total moment   0.0 μB per cell
Density of states at the Fermi level   0.319 states/eV per atom

=====

Material: Sr2Zn6Cu9
Method: DFT, GGA-PBE
State: relaxed

Geometry as POSCAR:
```
Sr2Zn6Cu9
1.0
-5.068 -0.460 1.477
3.843 -1.975 3.067
0.761 10.734 5.956
Zn Cu Sr
6 9 2
Direct
0.667 0.333 0.000
0.333 0.667 0.000
0.333 0.667 0.334
0.333 0.667 0.666
0.667 0.333 0.666
0.667 0.333 0.334
0.500 0.500 0.165
0.000 0.500 0.500
0.500 0.500 0.835
0.000 0.500 0.835
0.500 0.000 0.165
0.500 0.000 0.835
0.500 0.500 0.500
0.500 0.000 0.500
0.000 0.500 0.165
0.000 0.000 0.676
0.000 0.000 0.324
```

Summary:
V   17.6 Å³ per atom
Space-group type   P6/mmm
Size of the total moment   0.0 μB per cell
Density of states at the Fermi level   0.523 states/eV per atom

=====

Material: Sr2ZnCu3
Method: DFT, GGA-PBE
State: relaxed

Geometry as POSCAR:
```
Sr2ZnCu3
1.0
-4.427 1.501 3.955
0.042 -5.752 2.100
7.373 4.018 2.052
Zn Sr Cu
2 4 6
Direct
0.334 0.334 0.667
0.666 0.666 0.333
0.753 0.753 0.000
0.247 0.247 0.000
0.750 0.250 0.500
0.250 0.750 0.500
0.165 0.669 0.834
0.165 0.165 0.330
0.835 0.331 0.166
0.331 0.835 0.166
0.669 0.165 0.834
0.835 0.835 0.670
```

Summary:
V   23.4 Å³ per atom
Space-group type   Fmmm
Size of the total moment   0.0 μB per cell
Density of states at the Fermi level   0.621 states/eV per atom

=====

Material: SrZn12Cu6
Method: DFT, GGA-PBE
State: relaxed

Geometry as POSCAR:
```
SrZn12Cu6
1.0
7.010 0.001 0.002
-1.736 6.791 0.002
-1.736 -2.237 6.412
Zn Cu Sr
12 6 1
Direct
0.138 0.404 0.404
0.596 0.596 0.862
0.404 0.404 0.138
0.862 0.596 0.596
0.886 0.114 0.500
0.114 0.886 0.500
0.404 0.138 0.404
0.500 0.886 0.114
0.886 0.500 0.114
0.596 0.862 0.596
0.500 0.114 0.886
0.114 0.500 0.886
0.277 0.699 0.277
0.301 0.723 0.723
0.277 0.277 0.699
0.699 0.277 0.277
0.723 0.723 0.301
0.723 0.301 0.723
0.000 0.000 0.000
```

Summary:
V   16.1 Å³ per atom
Space-group type   R-3m
Size of the total moment   0.0 μB per cell
Density of states at the Fermi level   0.201 states/eV per atom

=====

Material: SrZn6Cu6
Method: DFT, GGA-PBE
State: relaxed

Geometry as POSCAR:
```
SrZn6Cu6
1.0
-2.866 -4.032 0.271
3.454 -5.605 -1.587
0.259 -2.814 6.155
Zn Cu Sr
6 6 1
Direct
0.000 0.649 0.351
0.718 0.782 0.782
0.646 0.354 0.354
0.282 0.218 0.218
0.000 0.351 0.649
0.354 0.646 0.646
0.500 0.500 0.000
0.500 0.765 0.235
0.000 0.500 0.000
0.500 0.235 0.765
0.000 0.000 0.500
0.500 0.000 0.500
0.000 0.000 0.000
```

Summary:
V   15.1 Å³ per atom
Space-group type   Immm
Size of the total moment   0.0 μB per cell
Density of states at the Fermi level   0.443 states/eV per atom

=====

Material: Sr2Zn4Cu5
Method: DFT, GGA-PBE
State: relaxed

Geometry as POSCAR:
```
Sr2Zn4Cu5
1.0
-0.858 2.617 4.841
0.182 -2.800 4.750
7.131 2.751 2.980
Sr Zn Cu
2 4 5
Direct
0.137 0.000 0.726
0.863 0.000 0.274
0.788 0.679 0.746
0.467 0.321 0.746
0.212 0.321 0.254
0.533 0.679 0.254
0.750 0.500 0.500
0.000 0.500 0.000
0.500 0.500 0.000
0.250 0.500 0.500
0.500 0.000 0.000
```

Summary:
V   18.6 Å³ per atom
Space-group type   Fmmm
Energy relative to the lowest polymorph listed for this composition   0.000 eV per atom
Size of the total moment   0.0 μB per cell
Density of states at the Fermi level   0.448 states/eV per atom

=====

Material: Sr2Zn5Cu5
Method: DFT, GGA-PBE
State: relaxed

Geometry as POSCAR:
```
Sr2Zn5Cu5
1.0
-0.668 0.943 -3.954
2.042 -4.770 -1.483
-8.655 -3.873 0.538
Zn Sr Cu
5 2 5
Direct
0.000 0.000 0.176
0.000 0.500 0.332
0.500 0.000 0.000
0.000 0.500 0.668
0.000 0.000 0.824
0.000 0.000 0.500
0.000 0.500 0.000
0.500 0.500 0.500
0.500 0.747 0.252
0.500 0.253 0.748
0.500 0.253 0.252
0.500 0.747 0.748
```

Summary:
V   17.6 Å³ per atom
Space-group type   Pmmm
Size of the total moment   0.0 μB per cell
Density of states at the Fermi level   0.481 states/eV per atom

=====

Material: Sr3Zn4Cu4
Method: DFT, GGA-PBE
State: relaxed

Geometry as POSCAR:
```
Sr3Zn4Cu4
1.0
-3.401 2.533 0.971
-1.371 -3.019 3.029
4.503 5.681 10.625
Cu Sr Zn
4 3 4
Direct
0.896 0.411 0.205
0.753 0.812 0.497
0.247 0.188 0.503
0.104 0.589 0.795
0.000 0.000 0.000
0.651 0.137 0.698
0.349 0.863 0.302
0.206 0.656 0.591
0.794 0.344 0.409
0.447 0.451 0.105
0.553 0.549 0.895
```

Summary:
V   22.2 Å³ per atom
Space-group type   P-1
Energy relative to the lowest polymorph listed for this composition   0.009 eV per atom
Size of the total moment   0.0 μB per cell
Density of states at the Fermi level   0.541 states/eV per atom

=====

Material: SrZn6Cu3
Method: DFT, GGA-PBE
State: relaxed

Geometry as POSCAR:
```
SrZn6Cu3
1.0
6.643 0.000 0.000
0.000 6.225 -2.475
0.000 0.482 7.856
Cu Zn Sr
6 12 2
Direct
0.802 0.862 0.612
0.698 0.362 0.112
0.302 0.638 0.888
0.500 0.000 0.500
0.198 0.138 0.388
0.000 0.500 0.000
0.164 0.847 0.567
0.664 0.653 0.933
0.224 0.246 0.732
0.836 0.153 0.433
0.483 0.957 0.823
0.983 0.543 0.677
0.776 0.754 0.268
0.017 0.457 0.323
0.724 0.254 0.768
0.336 0.347 0.067
0.276 0.746 0.232
0.517 0.043 0.177
0.000 0.000 0.000
0.500 0.500 0.500
```

Summary:
V   16.6 Å³ per atom
Space-group type   P2_1/c
Size of the total moment   0.0 μB per cell
Density of states at the Fermi level   0.413 states/eV per atom

=====

Number 1: ΔE_f -1.73 eV per formula unit. Number 2: ΔE_f -0.06 eV per formula unit. Number 3: ΔE_f -0.38 eV per formula unit. Number 4: ΔE_f -0.69 eV per formula unit. Number 5: ΔE_f -1.01 eV per formula unit. Number 6: ΔE_f -1.43 eV per formula unit. Number 7: ΔE_f -1.48 eV per formula unit. Number 8: ΔE_f -1.98 eV per formula unit. Number 9: ΔE_f -1.63 eV per formula unit. Number 10: ΔE_f -0.93 eV per formula unit.